# SrTaW SCAN single point on PBEsol structure
# - mass density (g cm⁻³) = 10.78
# - volume (Å³/cell) = 139.4
# - polymorph energy (0 for the lowest one) (kJ/mol of formula units) = 0
# - formation energy from the elements (meV per atom) = 736
data_SrTaW
_space_group_name_H-M_alt 'I 4 m m'
_space_group_IT_number 107
_space_group_name_Hall 'I 4 -2'
_cell_length_a 3.4037
_cell_length_b 3.4037
_cell_length_c 12.0329
_cell_angle_alpha 90.00
_cell_angle_beta 90.00
_cell_angle_gamma 90.00
loop_
_atom_site_label
_atom_site_type_symbol
_atom_site_fract_x
_atom_site_fract_y
_atom_site_fract_z
_atom_site_occupancy
Sr1 Sr 0.0000 0.0000 0.0000 1
Ta1 Ta 0.0000 0.0000 0.2864 1
W1 W 0.0000 0.0000 0.6958 1